Here is crystalline Li3Np2CrS6 at its relaxed geometry from the Alexandria database. Energies are from PBE.

Structure (extended XYZ):
```
12
Lattice="-4.624 -4.299 -1.800 5.886 -2.137 1.974 -2.445 1.879 5.730" Properties=species:S:1:pos:R:3 pbc="T T T"
Li 2.983 -1.544 4.236
Li -4.166 -3.014 1.669
Li -0.591 -2.279 2.952
Np 2.392 -2.856 0.719
Np -1.130 -3.581 -0.545
Cr 0.000 0.000 0.000
S -2.543 -3.818 3.847
S 0.371 -4.462 1.523
S 1.360 -0.740 2.057
S 0.781 -3.134 5.041
S -1.554 -0.096 4.381
S -1.964 -1.424 0.864
```

Properties
As for the symmetry: C2/m, No. 12. The uncorrected formation energy comes out at -1.2242 eV/atom. As for the density of states at the Fermi level: 1.299 states/eV/atom.



Here is crystalline LiNpCr2S6 at its relaxed geometry from the Alexandria database. Energies are from PBE.

Structure (extended XYZ):
```
10
Lattice="6.253 0.000 0.000 3.127 5.415 0.000 3.126 1.805 5.628" Properties=species:S:1:pos:R:3 pbc="T T T"
Li 3.126 1.805 0.335
Np 9.379 5.416 3.055
Cr 6.253 3.611 2.680
Cr 3.126 1.805 5.442
S 5.419 1.778 1.357
S 5.083 5.248 1.357
S 8.257 3.805 1.357
S 7.046 5.358 4.215
S 7.370 2.049 4.215
S 4.342 3.423 4.215
```

Properties
As for the symmetry: R3, No. 146. The uncorrected formation energy comes out at -0.8710 eV/atom. As for the density of states at the Fermi level: 0.865 states/eV/atom.